# 1
Density functional theory data (GGA-PBEsol) for a relaxed structure of RePtRh2.

Geometry as extended XYZ:
```
4
Lattice="3.837 0.000 0.000 0.000 3.837 0.000 -1.918 -1.918 3.807" Properties=species:S:1:pos:R:3 pbc="T T T"
Re 0.000 0.000 0.000
Rh 1.918 0.000 1.904
Rh 0.000 1.918 1.904
Pt 1.918 1.918 0.000
```

* crystal system: tetragonal
* ΔE to the lowest computed polymorph: 52 meV per atom
* Fermi-level density of states: 4.723 states/eV/cell
* magnetic moment: 0.00 μB per cell

# 2
Density functional theory data (GGA-PBEsol) for a relaxed structure of RePtRh2.

Geometry as extended XYZ:
```
4
Lattice="2.704 0.000 0.000 1.352 2.342 0.000 1.352 0.781 8.913" Properties=species:S:1:pos:R:3 pbc="T T T"
Re 0.000 0.000 0.000
Rh 1.352 0.781 2.143
Rh 4.057 2.342 6.770
Pt 2.704 1.561 4.457
```

* crystal system: trigonal
* ΔE to the lowest computed polymorph: 29 meV per atom
* Fermi-level density of states: 4.059 states/eV/cell
* magnetic moment: 0.00 μB per cell

# 3
Density functional theory data (GGA-PBEsol) for a relaxed structure of RePtRh2.

Geometry as extended XYZ:
```
4
Lattice="2.696 0.000 0.000 0.000 4.682 0.000 -1.348 -0.771 4.443" Properties=species:S:1:pos:R:3 pbc="T T T"
Re 1.348 0.760 2.206
Rh 0.000 0.023 0.016
Rh 0.000 3.137 2.235
Pt 0.000 1.561 4.428
```

* crystal system: monoclinic
* ΔE to the lowest computed polymorph: 70 meV per atom
* Fermi-level density of states: 4.660 states/eV/cell
* magnetic moment: 0.00 μB per cell

# 4
Density functional theory data (GGA-PBEsol) for a relaxed structure of RePt2Rh.

Geometry as extended XYZ:
```
4
Lattice="-1.947 -0.071 1.895 -1.884 -0.230 -1.945 0.607 -7.803 0.333" Properties=species:S:1:pos:R:3 pbc="T T T"
Re 0.308 -3.953 0.169
Rh -1.467 -5.911 0.221
Pt 0.604 -7.764 0.332
Pt -1.758 -2.181 0.062
```

* crystal system: tetragonal
* ΔE to the lowest computed polymorph: 0 meV per atom
* Fermi-level density of states: 3.775 states/eV/cell
* magnetic moment: 0.00 μB per cell

# 5
Density functional theory data (GGA-PBEsol) for a relaxed structure of RePtRh2.

Geometry as extended XYZ:
```
4
Lattice="2.694 0.000 0.000 0.000 2.694 0.000 0.000 0.000 7.748" Properties=species:S:1:pos:R:3 pbc="T T T"
Re 1.347 1.347 5.856
Rh 0.000 0.000 7.716
Rh 1.347 1.347 1.896
Pt 0.000 0.000 3.901
```

* crystal system: tetragonal
* ΔE to the lowest computed polymorph: 75 meV per atom
* Fermi-level density of states: 5.074 states/eV/cell
* magnetic moment: 0.00 μB per cell

# 6
Density functional theory data (GGA-PBEsol) for a relaxed structure of RePtRh2.

Geometry as extended XYZ:
```
4
Lattice="2.690 0.000 0.000 -1.345 4.498 0.000 0.000 -0.794 4.641" Properties=species:S:1:pos:R:3 pbc="T T T"
Re 1.345 0.000 0.000
Rh 1.345 1.679 3.521
Rh 0.000 2.025 1.120
Pt 0.000 -0.397 2.321
```

* crystal system: monoclinic
* ΔE to the lowest computed polymorph: 43 meV per atom
* Fermi-level density of states: 4.168 states/eV/cell
* magnetic moment: 0.00 μB per cell

# 7
Density functional theory data (GGA-PBEsol) for a relaxed structure of RePt2Rh.

Geometry as extended XYZ:
```
4
Lattice="2.726 0.000 0.000 0.000 4.721 0.000 -1.363 -0.780 4.468" Properties=species:S:1:pos:R:3 pbc="T T T"
Re 0.000 2.360 0.000
Rh 1.363 0.000 0.000
Pt 0.000 0.809 2.250
Pt 1.363 3.133 2.219
```

* crystal system: monoclinic
* ΔE to the lowest computed polymorph: 81 meV per atom
* Fermi-level density of states: 4.405 states/eV/cell
* magnetic moment: 0.00 μB per cell

# 8
Density functional theory data (GGA-PBEsol) for a relaxed structure of RePtRh.

Geometry as extended XYZ:
```
3
Lattice="2.708 0.000 0.000 0.000 3.855 0.000 -1.354 -1.927 4.068" Properties=species:S:1:pos:R:3 pbc="T T T"
Re 1.354 1.927 1.387
Rh 0.000 0.000 2.667
Pt 0.000 0.000 0.013
```

* crystal system: orthorhombic
* ΔE to the lowest computed polymorph: 0 meV per atom
* Fermi-level density of states: 1.829 states/eV/cell
* magnetic moment: 0.00 μB per cell

| no. | formation energy (meV/atom) |
| --- | --- |
| 1 | -95.4 |
| 2 | -118.8 |
| 3 | -78.0 |
| 4 | -148.1 |
| 5 | -72.3 |
| 6 | -104.6 |
| 7 | -66.7 |
| 8 | -185.8 |